[1]
This record from Alexandria describes an optimized crystal structure of LiPm2SnSe5. The functional is PBE-GGA.

```
LiPm2SnSe5
1.0
4.092 0.000 0.000
-2.046 8.730 0.000
0.000 0.000 12.332
Se Sn Pm Li
10 2 4 2
Direct
0.508 0.015 0.789
0.046 0.091 0.076
0.296 0.592 0.331
0.286 0.571 0.662
0.954 0.909 0.576
0.641 0.281 0.497
0.714 0.429 0.162
0.704 0.408 0.831
0.359 0.719 0.997
0.492 0.985 0.289
0.808 0.615 0.499
0.192 0.385 0.999
0.119 0.237 0.298
0.112 0.224 0.684
0.881 0.763 0.798
0.888 0.776 0.184
0.508 0.016 0.988
0.492 0.984 0.488
```

Energy relative to the elements, uncorrected, eV/atom: -1.301

=====

[2]
This record from Alexandria describes an optimized crystal structure of LiPm2SnSe4. The functional is PBE-GGA.

```
LiPm2SnSe4
1.0
-1.953 2.762 -2.456
-4.365 -5.359 -2.557
-5.842 -0.432 4.158
Se Li Sn Pm
4 1 1 2
Direct
0.000 0.253 0.256
0.000 0.747 0.744
0.500 0.253 0.745
0.500 0.747 0.255
0.000 0.500 0.500
0.500 0.500 0.000
0.500 0.000 0.500
0.000 0.000 0.000
```

Energy relative to the elements, uncorrected, eV/atom: -1.351

=====

[3]
This record from Alexandria describes an optimized crystal structure of Sr2LiPmSe4. The functional is PBE-GGA.

```
Sr2LiPmSe4
1.0
-2.165 -2.246 -2.999
-4.423 -2.751 5.253
-2.962 6.304 -2.584
Li Se Sr Pm
1 4 2 1
Direct
0.500 0.500 0.000
0.500 0.754 0.769
0.000 0.252 0.766
0.000 0.748 0.234
0.500 0.246 0.231
0.500 0.000 0.500
0.000 0.500 0.500
0.000 0.000 0.000
```

Energy relative to the elements, uncorrected, eV/atom: -1.831

=====

[4]
This record from Alexandria describes an optimized crystal structure of Sr3LiPm3Se8. The functional is PBE-GGA.

```
Sr3LiPm3Se8
1.0
8.511 0.000 0.000
-4.255 7.370 -0.026
0.000 -4.888 7.145
Se Sr Pm Li
8 3 3 1
Direct
0.257 0.015 0.273
0.242 0.483 0.727
0.746 0.491 0.737
0.758 0.517 0.273
0.242 0.985 0.727
0.758 0.015 0.273
0.254 0.509 0.263
0.743 0.985 0.727
0.000 0.500 0.000
0.500 0.500 0.000
0.000 0.000 0.000
0.000 0.500 0.500
0.500 0.500 0.500
0.500 0.000 0.500
0.000 0.000 0.500
```

Energy relative to the elements, uncorrected, eV/atom: -1.827

=====

[5]
This record from Alexandria describes an optimized crystal structure of SrLiPmSe3. The functional is PBE-GGA.

```
SrLiPmSe3
1.0
-0.901 -4.109 0.350
0.214 -0.793 -8.760
8.633 -1.695 2.319
Pm Li Se Sr
2 2 6 2
Direct
0.250 0.668 0.169
0.750 0.332 0.831
0.250 0.085 0.586
0.750 0.915 0.414
0.750 0.432 0.168
0.250 0.568 0.832
0.750 0.892 0.132
0.250 0.108 0.868
0.750 0.209 0.506
0.250 0.791 0.494
0.250 0.182 0.232
0.750 0.818 0.768
```

Energy relative to the elements, uncorrected, eV/atom: -1.780

=====

[6]
This record from Alexandria describes an optimized crystal structure of Sr3LiPm2Se6. The functional is PBE-GGA.

```
Sr3LiPm2Se6
1.0
7.430 0.000 0.001
-3.713 6.436 0.001
-1.239 -2.146 7.051
Se Pm Sr Li
6 2 3 1
Direct
0.410 0.078 0.234
0.590 0.922 0.766
0.254 0.254 0.767
0.922 0.590 0.766
0.078 0.410 0.234
0.746 0.746 0.233
0.667 0.333 0.000
0.333 0.667 0.000
0.500 0.500 0.500
0.834 0.166 0.500
0.166 0.834 0.500
0.000 0.000 0.000
```

Energy relative to the elements, uncorrected, eV/atom: -1.872